Compound: Zn2ReCl
Source: Alexandria
Functional: PBE
Structure: relaxed

Properties
Uncorrected formation energy in eV/atom: 0.8346
Relative energy among the computed polymorphs in meV/atom: 675

abc: 7.301 7.301 5.220
angles: 90.00 90.00 90.00
Space group I-42d (No. 122)
Unique sites:
1 Zn 0.241 0.750 0.125 (multiplicity 8)
2 Re 0.000 0.000 0.000 (multiplicity 4)
3 Cl 0.000 0.000 0.500 (multiplicity 4)